i) # LaIn2Mo

A relaxed structure of LaIn2Mo (GGA-PBE, Alexandria).

Calculated values
V, Å³/cell: 97.38
Calculated density, Mg/m³: 7.9

a b c (Å): 5.1642 5.1642 5.1642
angles (deg): 60.00 60.00 60.00
With the nearest neighbours (Å) after each atom.
Sites, in units of the cell vectors:
La  0.0000  0.0000  0.0000  8 In 3.16
In  0.2500  0.2500  0.2500  4 La 3.16, 4 Mo 3.16
In  0.7500  0.7500  0.7500  4 La 3.16, 4 Mo 3.16
Mo  0.5000  0.5000  0.5000  8 In 3.16

=====

ii) # LaIn2Mo

A relaxed structure of LaIn2Mo (GGA-PBE, Alexandria).

Calculated values
V, Å³/cell: 99.95
Calculated density, Mg/m³: 7.7

a b c (Å): 3.4787 3.7768 7.6071
angles (deg): 90.00 90.00 90.00
With the nearest neighbours (Å) after each atom.
Sites, in units of the cell vectors:
La  0.0000  0.0000  0.0000  1 In 3.21, 4 Mo 3.23, 2 La 3.48
In  0.0000  0.0000  0.4220  4 Mo 2.85, 4 In 3.17
In  0.5000  0.5000  0.6673  1 Mo 3.11, 6 In 3.17-3.48
Mo  0.5000  0.5000  0.2583  5 In 2.85-3.11

=====

iii) # LaIn2Mo

A relaxed structure of LaIn2Mo (GGA-PBE, Alexandria).

Calculated values
V, Å³/cell: 93.72
Calculated density, Mg/m³: 8.2

a b c (Å): 3.1115 4.3514 6.9221
angles (deg): 90.00 90.00 90.00
With the nearest neighbours (Å) after each atom.
Sites, in units of the cell vectors:
La  0.0000  0.0000  0.0000  2 La 3.11, 8 In 3.36, 2 Mo 3.46
In  0.5000  0.5000  0.2940  3 In 2.85-3.11, 4 Mo 3.03
In  0.5000  0.5000  0.7060  3 In 2.85-3.11, 4 Mo 3.03
Mo  0.0000  0.0000  0.5000  8 In 3.03, 2 Mo 3.11

=====

iv) # LaIn2Mo

A relaxed structure of LaIn2Mo (GGA-PBE, Alexandria).

Calculated values
V, Å³/cell: 97.85
Calculated density, Mg/m³: 7.9

a b c (Å): 3.1237 4.4656 7.1845
angles (deg): 90.00 102.49 90.00
With the nearest neighbours (Å) after each atom.
Sites, in units of the cell vectors:
La  0.0000  0.0000  0.0000  2 La 3.12, 5 In 3.16-3.41, 4 Mo 3.47
In  0.2224  0.0000  0.4499  4 In 2.88-3.12, 4 Mo 2.90-2.91, 1 La 3.16
In  0.3562  0.5000  0.7090  4 In 2.88-3.12, 1 Mo 3.22
Mo  0.6513  0.5000  0.3062  6 In 2.90-3.23, 2 Mo 3.12

=====

Tell me which of them is the least stable. Sure, it is iv).

=====

i) # LaIn2Mo

A relaxed structure of LaIn2Mo (GGA-PBE, Alexandria).

Calculated values
V, Å³/cell: 93.42
Calculated density, Mg/m³: 8.3

a b c (Å): 5.7828 5.7828 3.0918
angles (deg): 91.43 91.43 115.24
With the nearest neighbours (Å) after each atom.
Sites, in units of the cell vectors:
La  0.0000  0.0000  0.0000  2 La 3.09, 2 Mo 3.10, 8 In 3.24-3.31
In  0.0000  0.5000  0.5000  4 In 3.09-3.10, 4 La 3.24-3.31, 4 Mo 3.24-3.31
In  0.5000  0.0000  0.5000  4 In 3.09-3.10, 4 La 3.24-3.31, 4 Mo 3.24-3.31
Mo  0.5000  0.5000  0.0000  2 Mo 3.09, 2 La 3.10, 8 In 3.24-3.31

=====

ii) # LaIn2Mo

A relaxed structure of LaIn2Mo (GGA-PBE, Alexandria).

Calculated values
V, Å³/cell: 96.69
Calculated density, Mg/m³: 8.0

a b c (Å): 5.3649 5.3649 5.9965
angles (deg): 100.34 100.34 34.78
With the nearest neighbours (Å) after each atom.
Sites, in units of the cell vectors:
La  0.0000  0.0000  0.0000  2 La 3.21, 6 In 3.24-3.37, 4 Mo 3.40
In  0.2335  0.2335  0.7035  3 Mo 2.95-3.19, 4 In 2.99-3.21, 1 La 3.24
In  0.7665  0.7665  0.2965  3 Mo 2.95-3.19, 4 In 2.99-3.21, 1 La 3.24
Mo  0.5000  0.5000  0.5000  6 In 2.95-3.19, 2 Mo 3.21

=====

iii) # LaIn2Mo

A relaxed structure of LaIn2Mo (GGA-PBE, Alexandria).

Calculated values
V, Å³/cell: 94.04
Calculated density, Mg/m³: 8.2

a b c (Å): 5.4850 5.4850 5.4850
angles (deg): 130.97 129.39 73.13
With the nearest neighbours (Å) after each atom.
Sites, in units of the cell vectors:
La  0.0000  0.0000  0.0000  8 In 3.19-3.20, 4 Mo 3.27
In  0.2529  0.7529  0.5000  4 Mo 3.15-3.23, 4 La 3.19-3.20, 4 In 3.27
In  0.7471  0.2471  0.5000  4 Mo 3.15-3.23, 4 La 3.19-3.20, 4 In 3.27
Mo  0.5000  0.5000  0.0000  8 In 3.15-3.23, 4 La 3.27

=====

Tell me which of them is the least stable. Sure, it is i).

=====

i) # LaIn2Mo

A relaxed structure of LaIn2Mo (GGA-PBE, Alexandria).

Calculated values
V, Å³/cell: 96.82
Calculated density, Mg/m³: 8.0

a b c (Å): 3.2424 3.2424 9.6660
angles (deg): 90.00 90.00 107.69
With the nearest neighbours (Å) after each atom.
Sites, in units of the cell vectors:
La  0.0000  0.0000  0.0000  2 Mo 2.95, 4 La 3.24
In  0.0000  0.0000  0.5573  2 Mo 2.79
In  0.5000  0.5000  0.3012  6 In 3.13-3.24, 2 La 3.48
Mo  0.5000  0.5000  0.7674  2 In 2.79, 2 La 2.95

=====

ii) # LaIn2Mo

A relaxed structure of LaIn2Mo (GGA-PBE, Alexandria).

Calculated values
V, Å³/cell: 93.79
Calculated density, Mg/m³: 8.2

a b c (Å): 10.6251 10.6251 10.6251
angles (deg): 17.42 17.42 17.42
With the nearest neighbours (Å) after each atom.
Sites, in units of the cell vectors:
La  0.0000  0.0000  0.0000  6 La 3.22, 6 In 3.50
In  0.2390  0.2390  0.2390  3 Mo 2.93, 6 In 3.22
In  0.7610  0.7610  0.7610  3 Mo 2.93, 6 In 3.22
Mo  0.5000  0.5000  0.5000  6 In 2.93, 6 Mo 3.22

=====

iii) # LaIn2Mo

A relaxed structure of LaIn2Mo (GGA-PBE, Alexandria).

Calculated values
V, Å³/cell: 93.60
Calculated density, Mg/m³: 8.2

a b c (Å): 3.3421 3.3421 8.3797
angles (deg): 90.00 90.00 90.00
With the nearest neighbours (Å) after each atom.
Sites, in units of the cell vectors:
La  0.0000  0.0000  0.0000  4 La 3.34, 8 In 3.42
In  0.5000  0.5000  0.2942  4 Mo 2.93
In  0.5000  0.5000  0.7058  4 Mo 2.93
Mo  0.0000  0.0000  0.5000  8 In 2.93

=====

iv) # LaIn2Mo

A relaxed structure of LaIn2Mo (GGA-PBE, Alexandria).

Calculated values
V, Å³/cell: 96.74
Calculated density, Mg/m³: 8.0

a b c (Å): 4.4441 4.4441 4.8983
angles (deg): 90.00 90.00 90.00
With the nearest neighbours (Å) after each atom.
Sites, in units of the cell vectors:
La  0.0000  0.0000  0.0000  4 Mo 3.14, 8 In 3.31
In  0.0000  0.5000  0.5000  4 In 3.14, 4 Mo 3.31, 4 La 3.31
In  0.5000  0.0000  0.5000  4 In 3.14, 4 Mo 3.31, 4 La 3.31
Mo  0.5000  0.5000  0.0000  4 La 3.14, 8 In 3.31

=====

Tell me which of them is the least stable. Sure, it is i).

=====

i) # LaIn2Mo

A relaxed structure of LaIn2Mo (GGA-PBE, Alexandria).

Calculated values
V, Å³/cell: 104.29
Calculated density, Mg/m³: 7.4

a b c (Å): 7.4511 7.4511 7.4511
angles (deg): 155.57 142.32 45.42
With the nearest neighbours (Å) after each atom.
Sites, in units of the cell vectors:
La  0.0000  0.0000  0.0000  2 Mo 3.07, 2 La 3.15, 4 In 3.43
In  0.3093  0.8093  0.5000  4 Mo 2.88, 2 In 3.15
In  0.6365  0.6365  0.0000  2 Mo 2.84, 2 In 3.15
Mo  0.8083  0.3083  0.5000  6 In 2.84-2.88, 2 La 3.07, 2 Mo 3.15

=====

ii) # LaIn2Mo

A relaxed structure of LaIn2Mo (GGA-PBE, Alexandria).

Calculated values
V, Å³/cell: 97.94
Calculated density, Mg/m³: 7.9

a b c (Å): 5.6836 5.6836 5.6836
angles (deg): 132.49 132.49 69.46
With the nearest neighbours (Å) after each atom.
Sites, in units of the cell vectors:
La  0.0000  0.0000  0.0000  8 In 3.24-3.27, 4 Mo 3.27
In  0.5000  0.5000  0.0000  4 La 3.24, 4 Mo 3.27, 4 In 3.27
In  0.7500  0.2500  0.5000  4 Mo 3.24, 4 In 3.27, 4 La 3.27
Mo  0.2500  0.7500  0.5000  8 In 3.24-3.27, 4 La 3.27

=====

iii) # LaIn2Mo

A relaxed structure of LaIn2Mo (GGA-PBE, Alexandria).

Calculated values
V, Å³/cell: 93.91
Calculated density, Mg/m³: 8.2

a b c (Å): 5.1021 5.1021 5.1021
angles (deg): 60.00 60.00 60.00
With the nearest neighbours (Å) after each atom.
Sites, in units of the cell vectors:
La  0.0000  0.0000  0.0000  4 In 3.12, 4 Mo 3.12
In  0.5000  0.5000  0.5000  4 In 3.12, 4 Mo 3.12
In  0.7500  0.7500  0.7500  4 In 3.12, 4 La 3.12
Mo  0.2500  0.2500  0.2500  4 In 3.12, 4 La 3.12

=====

iv) # LaIn2Mo

A relaxed structure of LaIn2Mo (GGA-PBE, Alexandria).

Calculated values
V, Å³/cell: 205.50
Calculated density, Mg/m³: 7.5

a b c (Å): 11.2772 11.2772 11.2772
angles (deg): 157.75 157.75 31.67
With the nearest neighbours (Å) after each atom.
Sites, in units of the cell vectors:
La  0.0000  0.0000  0.0000  4 Mo 3.08, 4 In 3.18
La  0.7500  0.2500  0.5000  4 Mo 3.08, 4 In 3.18
In  0.1644  0.6250  0.0394  2 In 2.85, 2 Mo 3.06, 2 La 3.18
In  0.3750  0.4144  0.5394  2 In 2.85, 2 Mo 3.06, 2 La 3.18
In  0.5856  0.1250  0.9606  2 In 2.85, 2 Mo 3.06, 2 La 3.18
In  0.8750  0.8356  0.4606  2 In 2.85, 2 Mo 3.06, 2 La 3.18
Mo  0.2500  0.7500  0.5000  4 In 3.06, 4 La 3.08
Mo  0.5000  0.5000  0.0000  4 In 3.06, 4 La 3.08

=====

Tell me which of them is the least stable. Sure, it is iv).

=====

i) # LaScIn2Mo

A relaxed structure of LaScIn2Mo (GGA-PBE, Alexandria).

Calculated values
V, Å³/cell: 147.75
Calculated density, Mg/m³: 5.7

a b c (Å): 5.2756 5.2756 5.3086
angles (deg): 90.00 90.00 90.00
With the nearest neighbours (Å) after each atom.
Sites, in units of the cell vectors:
La  0.0000  0.0000  0.0000  2 Sc 2.65
Sc  0.0000  0.0000  0.5000  4 In 2.64, 2 La 2.65
In  0.0000  0.5000  0.5000  2 Sc 2.64
In  0.5000  0.0000  0.5000  2 Sc 2.64
Mo  0.5000  0.5000  0.0000  4 La 3.73, 8 In 3.74

=====

ii) # LaScIn2Mo

A relaxed structure of LaScIn2Mo (GGA-PBE, Alexandria).

Calculated values
V, Å³/cell: 163.33
Calculated density, Mg/m³: 5.2

a b c (Å): 5.8192 5.8192 4.8233
angles (deg): 90.00 90.00 90.00
With the nearest neighbours (Å) after each atom.
Sites, in units of the cell vectors:
La  0.0000  0.0000  0.0000  2 Mo 2.41
Sc  0.5000  0.5000  0.5000  8 In 3.78, 4 Mo 4.11
In  0.0000  0.5000  0.0000  2 La 2.91
In  0.5000  0.0000  0.0000  2 La 2.91
Mo  0.0000  0.0000  0.5000  2 La 2.41

=====

Tell me which of them is the least stable. Sure, it is i).

=====

i) # La4InN

A relaxed structure of La4InN (GGA-PBE, Alexandria).

Calculated values
V, Å³/cell: 348.53
Calculated density, Mg/m³: 6.5

a b c (Å): 9.7932 9.7932 7.1471
angles (deg): 90.00 90.00 149.44
With the nearest neighbours (Å) after each atom.
Sites, in units of the cell vectors:
La  0.0000  0.0000  0.0000  2 N 2.61
La  0.0000  0.0000  0.5000  2 N 2.61
La  0.1857  0.8143  0.5073  1 N 2.44
La  0.1857  0.8143  0.9927  1 N 2.44
La  0.4062  0.5938  0.7500  2 N 2.58
La  0.5938  0.4062  0.2500  2 N 2.58
La  0.8143  0.1857  0.0073  1 N 2.44
La  0.8143  0.1857  0.4927  1 N 2.44
In  0.3996  0.6004  0.2500  11 La 3.50-3.67
In  0.6004  0.3996  0.7500  11 La 3.50-3.67
N  0.1006  0.8994  0.2500  6 La 2.44-2.61
N  0.8994  0.1006  0.7500  6 La 2.44-2.61

=====

ii) # La4InN

A relaxed structure of La4InN (GGA-PBE, Alexandria).

Calculated values
V, Å³/cell: 392.09
Calculated density, Mg/m³: 5.8

a b c (Å): 5.4161 9.8432 7.3546
angles (deg): 90.00 90.00 90.00
With the nearest neighbours (Å) after each atom.
Sites, in units of the cell vectors:
La  0.2500  0.0560  0.2184  1 N 2.31
La  0.2500  0.2500  0.7085  1 N 2.31
La  0.2500  0.4440  0.2184  1 N 2.31
La  0.2500  0.7500  0.5819  2 N 2.71
La  0.7500  0.2500  0.4181  2 N 2.71
La  0.7500  0.5560  0.7816  1 N 2.31
La  0.7500  0.7500  0.2915  1 N 2.31
La  0.7500  0.9440  0.7816  1 N 2.31
In  0.2500  0.7500  0.0127  5 La 3.17-3.40
In  0.7500  0.2500  0.9873  5 La 3.17-3.40
N  0.2500  0.2500  0.3942  3 La 2.31
N  0.7500  0.7500  0.6058  3 La 2.31

=====

Tell me which of them is the least stable. Sure, it is ii).

=====

i) # LaInSN2

A relaxed structure of LaInSN2 (GGA-PBE, Alexandria).

Calculated values
V, Å³/cell: 92.35
Calculated density, Mg/m³: 5.6

a b c (Å): 4.2443 4.2443 5.1268
angles (deg): 90.00 90.00 90.00
With the nearest neighbours (Å) after each atom.
Sites, in units of the cell vectors:
La  0.0000  0.0000  0.0000  4 S 3.00, 8 N 3.33
In  0.5000  0.5000  0.5000  4 N 2.12
S  0.5000  0.5000  0.0000  2 In 2.56
N  0.0000  0.5000  0.5000  2 In 2.12
N  0.5000  0.0000  0.5000  2 In 2.12

=====

ii) # LaInSN2

A relaxed structure of LaInSN2 (GGA-PBE, Alexandria).

Calculated values
V, Å³/cell: 110.12
Calculated density, Mg/m³: 4.7

a b c (Å): 4.2480 4.2480 6.1023
angles (deg): 90.00 90.00 90.00
With the nearest neighbours (Å) after each atom.
Sites, in units of the cell vectors:
La  0.0000  0.0000  0.0000  4 N 2.12
In  0.5000  0.5000  0.5000  4 S 3.00
S  0.0000  0.0000  0.5000  4 In 3.00, 2 La 3.05
N  0.0000  0.5000  0.0000  2 La 2.12
N  0.5000  0.0000  0.0000  2 La 2.12

=====

Tell me which of them is the least stable. Sure, it is ii).

=====

i) # La2ScInN

A relaxed structure of La2ScInN (GGA-PBE, Alexandria).

Calculated values
V, Å³/cell: 121.41
Calculated density, Mg/m³: 6.2

a b c (Å): 5.1914 5.1914 4.5049
angles (deg): 90.00 90.00 90.00
With the nearest neighbours (Å) after each atom.
Sites, in units of the cell vectors:
La  0.0000  0.5000  0.0000  2 N 2.60
La  0.5000  0.0000  0.0000  2 N 2.60
Sc  0.0000  0.0000  0.5000  2 N 2.25
In  0.5000  0.5000  0.5000  8 La 3.44, 4 Sc 3.67
N  0.0000  0.0000  0.0000  2 Sc 2.25

=====

ii) # La2ScInN

A relaxed structure of La2ScInN (GGA-PBE, Alexandria).

Calculated values
V, Å³/cell: 127.13
Calculated density, Mg/m³: 5.9

a b c (Å): 4.9734 4.9734 5.1400
angles (deg): 90.00 90.00 90.00
With the nearest neighbours (Å) after each atom.
Sites, in units of the cell vectors:
La  0.0000  0.5000  0.0000  2 N 2.49
La  0.5000  0.0000  0.0000  2 N 2.49
Sc  0.0000  0.0000  0.5000  4 In 3.52, 8 La 3.58
In  0.5000  0.5000  0.5000  2 N 2.57
N  0.5000  0.5000  0.0000  4 La 2.49, 2 In 2.57

=====

Tell me which of them is the least stable. Sure, it is ii).